# Fe4C3 PBE optimized geometry
# E: -50.36 eV per formula unit
# ΔH_f (0 K): 1.594 eV/atom
# V: 61.36 Å³ per cell
# Theoretical density: 7.020 Mg/m³
data_Fe4C3
_cell_length_a 3.6162
_cell_length_b 3.6162
_cell_length_c 5.4183
_cell_angle_alpha 90.00
_cell_angle_beta 90.00
_cell_angle_gamma 120.00
_space_group_name_H-M_alt 'P 6/m m m'
_space_group_IT_number 191
_space_group_name_Hall '-P 6 2'
loop_
_atom_site_label
_atom_site_fract_x
_atom_site_fract_y
_atom_site_fract_z
Fe1 0.0000 0.0000 0.2164
Fe2 0.3333 0.6667 0.5000
C1 0.0000 0.5000 0.0000

---

# MgP2CCl PBE optimized geometry
# E_form (uncorrected): 1.818 eV/atom
# E: -14.40 eV per formula unit
# V: 113.94 Å³ per cell
# Theoretical density: 1.949 Mg/m³
# ΔE to the lowest computed polymorph: 118.3 kJ/mol of atoms
data_MgP2CCl
_cell_length_a 4.9369
_cell_length_b 4.9369
_cell_length_c 4.6748
_cell_angle_alpha 90.00
_cell_angle_beta 90.00
_cell_angle_gamma 90.00
_space_group_name_H-M_alt 'P 4/m m m'
_space_group_IT_number 123
_space_group_name_Hall '-P 4 2'
loop_
_atom_site_label
_atom_site_fract_x
_atom_site_fract_y
_atom_site_fract_z
Mg1 0.0000 0.0000 0.0000
P1 0.0000 0.5000 0.0000
C1 0.5000 0.5000 0.5000
Cl1 0.0000 0.0000 0.5000

---

# NaAg2SnBr6 PBE optimized geometry
# E_form (uncorrected): -0.680 eV/atom
# E: -27.86 eV per formula unit
# V: 1215.54 Å³ per cell
# Theoretical density: 4.573 Mg/m³
data_NaAg2SnBr6
_cell_length_a 13.3979
_cell_length_b 12.1027
_cell_length_c 7.5496
_cell_angle_alpha 90.00
_cell_angle_beta 96.81
_cell_angle_gamma 90.00
_space_group_name_H-M_alt 'C 1 2/c 1'
_space_group_IT_number 15
loop_
_space_group_symop_operation_xyz
'x,y,z'
'-x,-y,-z'
'-x,y,-z+1/2'
'x,-y,z+1/2'
'x+1/2,y+1/2,z'
'-x+1/2,-y+1/2,-z'
'-x+1/2,y+1/2,-z+1/2'
'x+1/2,-y+1/2,z+1/2'
loop_
_atom_site_label
_atom_site_fract_x
_atom_site_fract_y
_atom_site_fract_z
Na1 0.0000 0.0866 0.2500
Ag1 0.2470 0.4240 0.9849
Sn1 0.0000 0.2639 0.7500
Br1 0.1218 0.2501 0.0888
Br2 0.1251 0.0892 0.6222
Br3 0.1333 0.4164 0.6381

---

# NaPdSe2 PBE optimized geometry
# E_form (uncorrected): -0.190 eV/atom
# E: -14.24 eV per formula unit
# V: 305.89 Å³ per cell
# Theoretical density: 6.239 Mg/m³
data_NaPdSe2
_cell_length_a 6.7378
_cell_length_b 6.7378
_cell_length_c 6.7378
_cell_angle_alpha 90.00
_cell_angle_beta 90.00
_cell_angle_gamma 90.00
_space_group_name_H-M_alt 'F m -3 m'
_space_group_IT_number 225
_space_group_name_Hall '-F 4 2 3'
loop_
_atom_site_label
_atom_site_fract_x
_atom_site_fract_y
_atom_site_fract_z
Na1 0.0000 0.0000 0.0000
Pd1 0.0000 0.0000 0.5000
Se1 0.2500 0.2500 0.2500

---

# Tl3GeAs PBE optimized geometry
# E: -13.79 eV per formula unit
# ΔH_f (0 K): 0.515 eV/atom
# V: 158.59 Å³ per cell
# Theoretical density: 7.965 Mg/m³
# ΔE to the lowest computed polymorph: 0.0 kJ/mol of atoms
data_Tl3GeAs
_cell_length_a 5.4129
_cell_length_b 5.4129
_cell_length_c 5.4129
_cell_angle_alpha 90.00
_cell_angle_beta 90.00
_cell_angle_gamma 90.00
_space_group_name_H-M_alt 'P m -3 m'
_space_group_IT_number 221
_space_group_name_Hall '-P 4 2 3'
loop_
_atom_site_label
_atom_site_fract_x
_atom_site_fract_y
_atom_site_fract_z
Tl1 0.0000 0.0000 0.5000
Ge1 0.0000 0.0000 0.0000
As1 0.5000 0.5000 0.5000

---

# Er2CuSi4Pd3 PBE optimized geometry
# E_form (uncorrected): -0.778 eV/atom
# E: -58.27 eV per formula unit
# V: 168.83 Å³ per cell
# Theoretical density: 8.160 Mg/m³
data_Er2CuSi4Pd3
_cell_length_a 4.0740
_cell_length_b 4.0740
_cell_length_c 10.1723
_cell_angle_alpha 90.00
_cell_angle_beta 90.00
_cell_angle_gamma 90.00
_space_group_name_H-M_alt 'P -4 m 2'
_space_group_IT_number 115
loop_
_space_group_symop_operation_xyz
'x,y,z'
'y,-x,-z'
'-x,-y,z'
'-y,x,-z'
'-x,y,z'
'-y,-x,-z'
'x,-y,z'
'y,x,-z'
loop_
_atom_site_label
_atom_site_fract_x
_atom_site_fract_y
_atom_site_fract_z
Er1 0.0000 0.5000 0.2435
Cu1 0.5000 0.5000 0.0000
Si1 0.0000 0.0000 0.5000
Si2 0.0000 0.5000 0.8660
Si3 0.5000 0.5000 0.5000
Pd1 0.0000 0.0000 0.0000
Pd2 0.0000 0.5000 0.6303

---

# K3Th2NpSe6 PBE optimized geometry
# E_form (uncorrected): -1.456 eV/atom
# E: -69.46 eV per formula unit
# V: 735.05 Å³ per cell
# Theoretical density: 5.838 Mg/m³
data_K3Th2NpSe6
_cell_length_a 19.8829
_cell_length_b 4.2599
_cell_length_c 9.2199
_cell_angle_alpha 90.00
_cell_angle_beta 109.73
_cell_angle_gamma 90.00
_space_group_name_H-M_alt 'C 1 2/m 1'
_space_group_IT_number 12
loop_
_space_group_symop_operation_xyz
'x,y,z'
'-x,-y,-z'
'-x,y,-z'
'x,-y,z'
'x+1/2,y+1/2,z'
'-x+1/2,-y+1/2,-z'
'-x+1/2,y+1/2,-z'
'x+1/2,-y+1/2,z'
loop_
_atom_site_label
_atom_site_fract_x
_atom_site_fract_y
_atom_site_fract_z
K1 0.0000 0.0000 0.0000
K2 0.1658 0.5000 0.3314
Th1 0.1626 0.5000 0.8244
Np1 0.0000 0.0000 0.5000
Se1 0.0073 0.5000 0.7285
Se2 0.1597 0.0000 0.6005
Se3 0.1763 0.0000 0.0618

---

# Tb3Dy4Y8 PBE optimized geometry
# E: -81.73 eV per formula unit
# ΔH_f (0 K): 0.152 eV/atom
# V: 1476.78 Å³ per cell
# Theoretical density: 6.200 Mg/m³
# ΔE to the lowest computed polymorph: 0.0 kJ/mol of atoms
data_Tb3Dy4Y8
_cell_length_a 6.9568
_cell_length_b 6.9568
_cell_length_c 35.2344
_cell_angle_alpha 90.00
_cell_angle_beta 90.00
_cell_angle_gamma 120.00
_space_group_name_H-M_alt 'R -3 m'
_space_group_IT_number 166
_space_group_name_Hall '-R 3 2"'
loop_
_atom_site_label
_atom_site_fract_x
_atom_site_fract_y
_atom_site_fract_z
Tb1 0.0000 0.5000 0.0000
Dy1 0.0000 0.0000 0.0000
Dy2 0.0000 0.0000 0.1639
Dy3 0.0000 0.0000 0.5000
Y1 0.0000 0.0000 0.2546
Y2 0.0010 0.5005 0.2499

---

# LaIrOs2Pt PBE optimized geometry
# E: -37.96 eV per formula unit
# ΔH_f (0 K): 0.866 eV/atom
# V: 112.72 Å³ per cell
# Theoretical density: 13.356 Mg/m³
data_LaIrOs2Pt
_cell_length_a 4.7243
_cell_length_b 4.7243
_cell_length_c 5.0506
_cell_angle_alpha 90.00
_cell_angle_beta 90.00
_cell_angle_gamma 90.00
_space_group_name_H-M_alt 'P 4/m m m'
_space_group_IT_number 123
_space_group_name_Hall '-P 4 2'
loop_
_atom_site_label
_atom_site_fract_x
_atom_site_fract_y
_atom_site_fract_z
La1 0.0000 0.0000 0.0000
Ir1 0.5000 0.5000 0.5000
Os1 0.0000 0.5000 0.5000
Pt1 0.5000 0.5000 0.0000

---

# KBaLi2 PBE optimized geometry
# E: -6.31 eV per formula unit
# ΔH_f (0 K): 0.134 eV/atom
# V: 345.55 Å³ per cell
# Theoretical density: 1.829 Mg/m³
# ΔE to the lowest computed polymorph: 3.2 kJ/mol of atoms
data_KBaLi2
_cell_length_a 14.2378
_cell_length_b 4.3462
_cell_length_c 6.1751
_cell_angle_alpha 90.00
_cell_angle_beta 115.27
_cell_angle_gamma 90.00
_space_group_name_H-M_alt 'C 1 m 1'
_space_group_IT_number 8
loop_
_space_group_symop_operation_xyz
'x,y,z'
'x,-y,z'
'x+1/2,y+1/2,z'
'x+1/2,-y+1/2,z'
loop_
_atom_site_label
_atom_site_fract_x
_atom_site_fract_y
_atom_site_fract_z
K1 0.0000 0.0000 0.0000
Ba1 0.2087 0.0000 0.7047
Li1 0.2680 0.5000 0.2637
Li2 0.4341 0.0000 0.4347

---

# Fe2Co PBE optimized geometry
# E: -23.80 eV per formula unit
# ΔH_f (0 K): 0.078 eV/atom
# V: 128.04 Å³ per cell
# Theoretical density: 8.851 Mg/m³
data_Fe2Co
_cell_length_a 2.4578
_cell_length_b 13.0912
_cell_length_c 3.9795
_cell_angle_alpha 90.00
_cell_angle_beta 90.00
_cell_angle_gamma 90.00
_space_group_name_H-M_alt 'C m c m'
_space_group_IT_number 63
_space_group_name_Hall '-C 2c 2'
loop_
_atom_site_label
_atom_site_fract_x
_atom_site_fract_y
_atom_site_fract_z
Fe1 0.0000 0.0535 0.2500
Fe2 0.0000 0.3858 0.2500
Co1 0.0000 0.2788 0.7500

---

# GaGeSb2 PBE optimized geometry
# E_form (uncorrected): 0.207 eV/atom
# E: -15.06 eV per formula unit
# V: 375.11 Å³ per cell
# Theoretical density: 6.833 Mg/m³
# ΔE to the lowest computed polymorph: 12.6 kJ/mol of atoms
data_GaGeSb2
_cell_length_a 7.2120
_cell_length_b 7.2120
_cell_length_c 7.2120
_cell_angle_alpha 90.00
_cell_angle_beta 90.00
_cell_angle_gamma 90.00
_space_group_name_H-M_alt 'F m -3 m'
_space_group_IT_number 225
_space_group_name_Hall '-F 4 2 3'
loop_
_atom_site_label
_atom_site_fract_x
_atom_site_fract_y
_atom_site_fract_z
Ga1 0.0000 0.0000 0.0000
Ge1 0.0000 0.0000 0.5000
Sb1 0.2500 0.2500 0.2500